Material: HgPbN2F
Method: DFT, PBE
State: optimized geometry

Summary:
* crystal system: tetragonal
* offset from the most stable computed form: 0.00 eV/f.u.
* volume: 85.69 Å³ per cell
* E_form (uncorrected): 926 meV per atom
* symmetry: P4/mmm, No. 123

Cell lengths 4.212, 4.212, 4.830 Å; angles 90.00, 90.00, 90.00 degrees
Fractional coordinates of all 5 atoms:
Hg 0.000 0.000 0.000
Pb 0.500 0.500 0.500
N 0.000 0.500 0.000
N 0.500 0.000 0.000
F 0.000 0.000 0.500